# 1
4
Lattice="-3.014 1.236 -1.583 -3.192 -2.274 4.301 3.566 5.386 1.558" Properties=species:S:1:pos:R:3 comment="PBE SmPb3, relaxed" magnetic_moment_mub_per_cell=0.000 volume_a3_per_cell=120.0 dft_energy_ev_per_fu=-16.904 pbc="T T T"
Pb -0.858 1.656 2.925
Pb -3.062 -0.490 1.304
Pb -0.768 3.414 -0.015
Sm -3.183 -2.268 4.288



# 2
5
Lattice="-4.019 2.407 -1.209 -1.766 -3.994 -2.083 -2.035 -1.289 4.196" Properties=species:S:1:pos:R:3 comment="PBE BaAsW3, relaxed" magnetic_moment_mub_per_cell=0.000 volume_a3_per_cell=113.2 dft_energy_ev_per_fu=-37.487 pbc="T T T"
As 0.000 0.000 0.000
Ba -3.909 -1.438 0.452
W -0.883 -1.997 -1.041
W -1.017 -0.644 2.098
W -2.009 1.204 -0.605



# 3
16
Lattice="-1.133 2.358 -2.309 -4.224 -0.536 4.163 5.191 8.757 6.395" Properties=species:S:1:pos:R:3 comment="PBE CaPu2RhN4, relaxed" magnetic_moment_mub_per_cell=14.346 volume_a3_per_cell=238.9 dft_energy_ev_per_fu=-77.861 pbc="T T T"
Ca 3.218 6.659 5.220
Ca -3.385 3.921 3.028
Pu -0.646 5.346 5.775
Pu -1.532 1.841 -0.005
Pu 0.479 5.234 2.472
Pu 1.365 8.739 8.253
Rh 0.408 8.139 5.473
Rh -0.575 2.441 2.775
N -1.946 1.114 2.093
N 0.120 6.667 4.112
N 1.779 9.465 6.155
N -0.287 3.913 4.136
N 2.595 4.379 3.197
N 0.000 0.000 0.000
N -0.090 7.103 7.297
N -0.077 3.477 0.951



# 4
4
Lattice="4.353 0.000 0.000 2.176 3.770 0.000 2.176 1.257 3.554" Properties=species:S:1:pos:R:3 comment="PBE Tc2RuRh, relaxed" magnetic_moment_mub_per_cell=0.000 volume_a3_per_cell=58.3 dft_energy_ev_per_fu=-35.951 pbc="T T T"
Rh 4.353 2.513 1.777
Ru 2.176 1.257 0.889
Tc 0.000 0.000 0.000
Tc 6.529 3.770 2.666



# 5
8
Lattice="4.434 0.000 0.000 0.000 7.728 0.160 0.000 -2.676 7.455" Properties=species:S:1:pos:R:3 comment="PBE Ca2PuZrBi4, relaxed" magnetic_moment_mub_per_cell=4.718 volume_a3_per_cell=257.3 dft_energy_ev_per_fu=-46.520 pbc="T T T"
Ca 2.217 -1.338 3.727
Ca 0.000 2.526 3.808
Pu 2.217 3.864 0.080
Zr 0.000 0.000 0.000
Bi 2.217 1.189 1.752
Bi 2.217 3.862 5.864
Bi 0.000 -0.167 5.740
Bi 0.000 5.218 1.875



# 6
8
Lattice="6.669 0.000 0.000 0.000 6.669 0.000 3.335 3.335 4.003" Properties=species:S:1:pos:R:3 comment="PBE Te2CS, relaxed" magnetic_moment_mub_per_cell=0.000 volume_a3_per_cell=178.1 dft_energy_ev_per_fu=-15.448 pbc="T T T"
S 0.000 0.000 0.000
S 6.669 3.335 2.002
Te 4.555 1.667 1.001
Te 2.114 5.002 1.001
Te 5.002 5.449 3.003
Te 8.336 7.890 3.003
C 3.335 3.335 0.000
C 3.335 6.669 2.002